# 1
Material: BaEuTlHg
Method: DFT, PBE
State: optimized geometry

```
4
Lattice="0.000 4.105 4.105 4.105 0.000 4.105 4.105 4.105 0.000" Properties=species:S:1:pos:R:3 pbc="T T T"
Ba 0.000 0.000 0.000
Eu 4.105 4.105 4.105
Tl 6.157 6.157 6.157
Hg 2.052 2.052 2.052
```

The crystal system is cubic. The calculation puts the magnetic moment at 7.0 μB/f.u. Its volume is 34.59 Å³/atom. For the density of states at the Fermi level, the calculation gives 12.04 states/eV per cell. For the density, the calculation gives 8.33 Mg/m³. The calculation puts the formation energy at -0.450 eV/atom.

# 2
Material: As2IrSe
Method: DFT, PBE
State: optimized geometry

```
4
Lattice="3.155 -1.801 0.000 3.155 1.801 0.000 -2.026 0.000 6.687" Properties=species:S:1:pos:R:3 pbc="T T T"
As 1.059 0.000 1.441
As 3.226 0.000 5.245
Ir 3.155 0.000 0.000
Se -1.013 0.000 3.343
```

The calculation puts the formation energy from raw total energies at 0.0452 eV/atom. The crystal system is monoclinic. The calculation puts the magnetic moment at 0.0 μB/f.u. Its volume is 19.00 Å³/atom. For the density of states at the Fermi level, the calculation gives 1.86 states/eV per cell. For the density, the calculation gives 9.20 Mg/m³.

# 3
Material: Li2CaRh3
Method: DFT, PBE
State: optimized geometry

```
12
Lattice="-4.190 4.537 2.616 4.190 -4.537 2.616 4.190 4.537 -2.616" Properties=species:S:1:pos:R:3 pbc="T T T"
Li 0.000 0.756 1.304
Li 4.190 0.756 1.312
Li 0.000 3.781 1.304
Li 4.190 3.781 1.312
Ca 4.190 2.268 -1.306
Ca 0.000 2.268 3.921
Rh 2.097 0.000 0.000
Rh 6.283 0.000 0.000
Rh -2.095 2.268 1.308
Rh 2.097 4.537 0.000
Rh 2.095 2.268 1.308
Rh 2.093 0.000 2.616
```

The crystal system is orthorhombic. The calculation puts the magnetic moment at 1.5 μB/f.u. Its volume is 16.57 Å³/atom. For the density of states at the Fermi level, the calculation gives 8.47 states/eV per cell. For the density, the calculation gives 6.06 Mg/m³. The calculation puts the formation energy at -0.184 eV/atom.

# 4
Material: Mg8NiAu2
Method: DFT, PBE
State: optimized geometry

```
11
Lattice="7.636 -2.297 0.000 7.636 2.297 0.000 -2.524 0.000 6.073" Properties=species:S:1:pos:R:3 pbc="T T T"
Mg -0.408 0.000 1.756
Mg 0.960 0.000 4.650
Mg 3.761 0.000 3.446
Mg 5.933 0.000 0.438
Mg 6.816 0.000 5.636
Mg 8.988 0.000 2.628
Mg 11.789 0.000 1.424
Mg 13.157 0.000 4.318
Ni 6.374 0.000 3.037
Au 2.305 0.000 1.087
Au 10.444 0.000 4.986
```

The crystal system is monoclinic. The calculation puts the magnetic moment at 0.0 μB/f.u. Its volume is 19.37 Å³/atom. Its energy above the most stable polymorph in this dataset is 0.0000 eV per atom. For the density of states at the Fermi level, the calculation gives 4.77 states/eV per cell. For the density, the calculation gives 5.04 Mg/m³. The calculation puts the formation energy at -0.304 eV/atom.

# 5
Material: PuGaFeCu
Method: DFT, PBE
State: optimized geometry

```
4
Lattice="0.000 3.203 3.203 3.203 0.000 3.203 3.203 3.203 0.000" Properties=species:S:1:pos:R:3 pbc="T T T"
Pu 0.000 0.000 0.000
Ga 3.203 3.203 3.203
Fe 1.601 1.601 1.601
Cu 4.804 4.804 4.804
```

The crystal system is cubic. The calculation puts the magnetic moment at 2.4 μB/f.u. Its volume is 16.43 Å³/atom. For the density of states at the Fermi level, the calculation gives 6.02 states/eV per cell. For the density, the calculation gives 10.95 Mg/m³. The calculation puts the formation energy at 0.014 eV/atom.

# 6
Material: TaTlSe2O8
Method: DFT, PBE
State: optimized geometry

```
12
Lattice="4.985 -2.784 0.000 4.985 2.784 0.000 -0.468 0.000 8.250" Properties=species:S:1:pos:R:3 pbc="T T T"
Ta 0.000 0.000 0.000
Tl -0.234 0.000 4.125
Se 3.102 0.000 6.638
Se 6.399 0.000 1.612
O 1.377 0.000 7.823
O 4.251 1.355 6.807
O 5.250 1.355 1.444
O 2.687 0.000 5.044
O 6.814 0.000 3.207
O 4.251 -1.355 6.807
O 5.250 -1.355 1.444
O 8.124 0.000 0.428
```

The calculation puts the formation energy from raw total energies at -1.1475 eV/atom. The crystal system is monoclinic. The calculation puts the magnetic moment at 0.0 μB/f.u. Its volume is 19.08 Å³/atom. For the density of states at the Fermi level, the calculation gives 1.24 states/eV per cell. For the density, the calculation gives 4.87 Mg/m³.

# 7
Material: Ce2PaTcN4
Method: DFT, PBE
State: optimized geometry

```
8
Lattice="-3.060 3.060 3.062 3.060 -3.060 3.062 3.060 3.060 -3.062" Properties=species:S:1:pos:R:3 pbc="T T T"
Ce 3.060 0.000 0.000
Ce 0.000 3.060 0.000
Pa 0.000 0.000 0.000
Tc 0.000 0.000 3.062
N 1.962 1.962 -1.306
N 1.097 1.097 1.756
N 1.097 -1.097 4.368
N -1.097 1.097 4.368
```

The calculation puts the formation energy from raw total energies at -0.6137 eV/atom. The crystal system is tetragonal. The calculation puts the magnetic moment at 2.2 μB/f.u. Its volume is 14.33 Å³/atom. For the density of states at the Fermi level, the calculation gives 12.58 states/eV per cell. For the density, the calculation gives 9.64 Mg/m³.

# 8
Material: Re2Mo2W3
Method: DFT, PBE
State: optimized geometry

```
7
Lattice="4.751 -2.223 0.000 4.751 2.223 0.000 -0.540 0.000 5.220" Properties=species:S:1:pos:R:3 pbc="T T T"
Re 1.843 0.000 1.820
Re 7.119 0.000 3.400
Mo 0.283 0.000 4.088
Mo 8.678 0.000 1.132
W 2.910 0.000 4.829
W 4.481 0.000 2.610
W 6.051 0.000 0.391
```

The crystal system is monoclinic. The calculation puts the magnetic moment at 0.0 μB/f.u. Its volume is 15.75 Å³/atom. Its energy above the most stable polymorph in this dataset is 0.0000 eV per atom. For the density of states at the Fermi level, the calculation gives 5.45 states/eV per cell. For the density, the calculation gives 16.80 Mg/m³. The calculation puts the formation energy at 0.037 eV/atom.

# 9
Material: Tm3Tl7
Method: DFT, PBE
State: optimized geometry

```
10
Lattice="8.731 -2.377 0.000 8.731 2.377 0.000 -1.379 0.000 6.467" Properties=species:S:1:pos:R:3 pbc="T T T"
Tm 0.000 0.000 0.000
Tm 2.450 0.000 3.952
Tm 13.633 0.000 2.514
Tl -0.690 0.000 3.233
Tl 3.423 0.000 0.792
Tl 5.889 0.000 4.481
Tl 6.801 0.000 1.212
Tl 9.282 0.000 5.255
Tl 10.194 0.000 1.985
Tl 12.660 0.000 5.674
```

The crystal system is monoclinic. The calculation puts the magnetic moment at 0.0 μB/f.u. Its volume is 26.84 Å³/atom. For the density of states at the Fermi level, the calculation gives 6.99 states/eV per cell. For the density, the calculation gives 11.99 Mg/m³. The calculation puts the formation energy at -0.180 eV/atom.

# 10
Material: CeNi4SbP2
Method: DFT, PBE
State: optimized geometry

```
8
Lattice="3.951 0.000 0.000 0.000 3.951 0.000 0.000 0.000 7.878" Properties=species:S:1:pos:R:3 pbc="T T T"
Ce 0.000 0.000 0.000
Ni 0.000 1.976 2.259
Ni 0.000 1.976 5.618
Ni 1.976 0.000 2.259
Ni 1.976 0.000 5.618
Sb 0.000 0.000 3.939
P 1.976 1.976 1.185
P 1.976 1.976 6.693
```

The calculation puts the formation energy from raw total energies at -0.6475 eV/atom. The crystal system is tetragonal. The calculation puts the magnetic moment at 0.0 μB/f.u. Its volume is 15.37 Å³/atom. For the density of states at the Fermi level, the calculation gives 8.44 states/eV per cell. For the density, the calculation gives 7.54 Mg/m³.

# 11
Material: Cs3BeI5
Method: DFT, PBE
State: optimized geometry

```
18
Lattice="-5.260 5.260 7.934 5.260 -5.260 7.934 5.260 5.260 -7.934" Properties=species:S:1:pos:R:3 pbc="T T T"
Cs 6.994 1.733 0.000
Cs 0.000 0.000 3.967
Cs 1.733 3.527 0.000
Cs 3.527 1.733 7.934
Cs 0.000 0.000 11.901
Cs -1.733 3.527 7.934
Be 5.260 0.000 3.967
Be 0.000 5.260 3.967
I 0.000 0.000 0.000
I 6.658 -1.398 2.549
I 3.863 -1.398 5.385
I 3.863 1.398 2.549
I 6.658 1.398 5.385
I 0.000 0.000 7.934
I -1.398 3.863 2.549
I 1.398 3.863 5.385
I 1.398 6.658 2.549
I -1.398 6.658 5.385
```

The calculation puts the formation energy from raw total energies at -1.2502 eV/atom. The crystal system is tetragonal. The calculation puts the magnetic moment at 0.0 μB/f.u. Its volume is 48.79 Å³/atom. For the density of states at the Fermi level, the calculation gives 0.00 states/eV per cell. For the density, the calculation gives 3.94 Mg/m³.

# 12
Material: Rb2SnRuI6
Method: DFT, PBE
State: optimized geometry

```
10
Lattice="-4.144 4.144 5.856 4.144 -4.144 5.856 4.144 4.144 -5.856" Properties=species:S:1:pos:R:3 pbc="T T T"
Rb 4.144 0.000 2.928
Rb 0.000 4.144 2.928
Sn 0.000 0.000 0.000
Ru 0.000 0.000 5.856
I 0.000 0.000 3.116
I 2.205 2.205 0.000
I 1.939 -1.939 5.856
I -1.939 1.939 5.856
I 0.000 0.000 8.596
I 1.939 1.939 5.856
```

The calculation puts the formation energy from raw total energies at -0.6213 eV/atom. The crystal system is tetragonal. The calculation puts the magnetic moment at 0.0 μB/f.u. Its volume is 40.23 Å³/atom. For the density of states at the Fermi level, the calculation gives 0.00 states/eV per cell. For the density, the calculation gives 4.76 Mg/m³.

What is the volume in the third record? 16.57 Å³/atom